No. 1
{
  "formula": "Tl2TeAu",
  "functional": "GGA-PBE",
  "state": "optimized geometry",
  "lattice_angstrom": [[3.316, 0.000, 0.000], [0.000, 4.141, 0.000], [0.000, 0.000, 8.234]],
  "species": ["Tl", "Tl", "Te", "Au"],
  "frac_coords": [[0.000, 0.000, 0.220], [0.000, 0.000, 0.780], [0.500, 0.500, 0.500], [0.500, 0.500, 0.000]],
  "raw_formation_energy_kcal_per_mol_atoms": -0.75,
  "dos_ef_per_ev_fu": 1.81,
  "de_polymorph_mev_per_atom": 85
}

No. 2
{
  "formula": "Tl3Te4Au",
  "functional": "GGA-PBE",
  "state": "optimized geometry",
  "lattice_angstrom": [[-2.360, 4.210, 7.383], [2.360, -4.210, 7.383], [2.360, 4.210, -7.383]],
  "species": ["Tl", "Tl", "Tl", "Te", "Te", "Te", "Te", "Au"],
  "frac_coords": [[0.000, 0.000, 0.000], [0.305, 0.805, 0.500], [0.695, 0.195, 0.500], [0.137, 0.390, 0.746], [0.356, 0.610, 0.746], [0.644, 0.390, 0.254], [0.863, 0.610, 0.254], [0.500, 0.500, 0.000]],
  "raw_formation_energy_kcal_per_mol_atoms": -2.39,
  "dos_ef_per_ev_fu": 3.42
}